Entry 1:
This record from Alexandria via LeMat-Bulk describes MnAl3Mo after structural relaxation. The functional is PBE.

Cell and atoms, written as CIF:
```
data_MnAl3Mo
_cell_length_a 4.4273
_cell_length_b 4.4273
_cell_length_c 4.4273
_cell_angle_alpha 90.00
_cell_angle_beta 90.00
_cell_angle_gamma 90.00
_space_group_name_H-M_alt 'P m -3 m'
_space_group_IT_number 221
_space_group_name_Hall '-P 4 2 3'
loop_
_atom_site_label
_atom_site_fract_x
_atom_site_fract_y
_atom_site_fract_z
Mn1 0.0000 0.0000 0.0000
Al1 0.0000 0.0000 0.5000
Mo1 0.5000 0.5000 0.5000
```

Calculated values
Total moment in μB/f.u.: 3.052
Total DFT energy (no corrections) in eV per atom: -5.578
Formation enthalpy at 0 K in meV per atom: 667.3
Crystal system: cubic

Entry 2:
This record from Alexandria via LeMat-Bulk describes Mn2AlMoN after structural relaxation. The functional is PBE.

Cell and atoms, written as CIF:
```
data_Mn2AlMoN
_cell_length_a 3.8035
_cell_length_b 3.8035
_cell_length_c 4.1456
_cell_angle_alpha 90.00
_cell_angle_beta 90.00
_cell_angle_gamma 90.00
_space_group_name_H-M_alt 'P 4/m m m'
_space_group_IT_number 123
_space_group_name_Hall '-P 4 2'
loop_
_atom_site_label
_atom_site_fract_x
_atom_site_fract_y
_atom_site_fract_z
Mn1 0.0000 0.5000 0.0000
Al1 0.0000 0.0000 0.5000
Mo1 0.5000 0.5000 0.5000
N1 0.5000 0.5000 0.0000
```

Calculated values
Total moment in μB/f.u.: 3.145
Total DFT energy (no corrections) in eV per atom: -8.552
Crystal system: tetragonal

Entry 3:
This record from Alexandria via LeMat-Bulk describes MnAlMoOs after structural relaxation. The functional is PBE.

Cell and atoms, written as CIF:
```
data_MnAlMoOs
_cell_length_a 6.0395
_cell_length_b 6.0395
_cell_length_c 6.0395
_cell_angle_alpha 90.00
_cell_angle_beta 90.00
_cell_angle_gamma 90.00
_space_group_name_H-M_alt 'F -4 3 m'
_space_group_IT_number 216
_space_group_name_Hall 'F -4 2 3'
loop_
_atom_site_label
_atom_site_fract_x
_atom_site_fract_y
_atom_site_fract_z
Mn1 0.0000 0.0000 0.0000
Al1 0.2500 0.2500 0.2500
Mo1 0.2500 0.2500 0.7500
Os1 0.0000 0.0000 0.5000
```

Calculated values
Total moment in μB/f.u.: 0.011
Total DFT energy (no corrections) in eV per atom: -8.937
Formation enthalpy at 0 K in meV per atom: -193.6
Crystal system: cubic

Entry 4:
This record from Alexandria via LeMat-Bulk describes Mn2AlMoOs after structural relaxation. The functional is PBE.

Cell and atoms, written as CIF:
```
data_Mn2AlMoOs
_cell_length_a 4.6858
_cell_length_b 4.6858
_cell_length_c 4.6175
_cell_angle_alpha 90.00
_cell_angle_beta 90.00
_cell_angle_gamma 90.00
_space_group_name_H-M_alt 'P 4/m m m'
_space_group_IT_number 123
_space_group_name_Hall '-P 4 2'
loop_
_atom_site_label
_atom_site_fract_x
_atom_site_fract_y
_atom_site_fract_z
Mn1 0.0000 0.5000 0.0000
Al1 0.0000 0.0000 0.5000
Mo1 0.5000 0.5000 0.5000
Os1 0.0000 0.0000 0.0000
```

Calculated values
Total moment in μB/f.u.: 4.122
Total DFT energy (no corrections) in eV per atom: -7.585
Formation enthalpy at 0 K in meV per atom: 1243.6
Crystal system: tetragonal

Entry 5:
This record from Alexandria via LeMat-Bulk describes MnAlMoPt2 after structural relaxation. The functional is PBE.

Cell and atoms, written as CIF:
```
data_MnAlMoPt2
_cell_length_a 4.5295
_cell_length_b 4.5295
_cell_length_c 4.4284
_cell_angle_alpha 90.00
_cell_angle_beta 90.00
_cell_angle_gamma 90.00
_space_group_name_H-M_alt 'P 4/m m m'
_space_group_IT_number 123
_space_group_name_Hall '-P 4 2'
loop_
_atom_site_label
_atom_site_fract_x
_atom_site_fract_y
_atom_site_fract_z
Mn1 0.0000 0.0000 0.0000
Al1 0.0000 0.0000 0.5000
Mo1 0.5000 0.5000 0.0000
Pt1 0.0000 0.5000 0.5000
```

Calculated values
Total moment in μB/f.u.: 6.124
Total DFT energy (no corrections) in eV per atom: -6.294
Formation enthalpy at 0 K in meV per atom: 870.9
Crystal system: tetragonal

Entry 6:
This record from Alexandria via LeMat-Bulk describes ScMnAlMo2 after structural relaxation. The functional is PBE.

Cell and atoms, written as CIF:
```
data_ScMnAlMo2
_cell_length_a 4.4643
_cell_length_b 4.4643
_cell_length_c 4.7059
_cell_angle_alpha 90.00
_cell_angle_beta 90.00
_cell_angle_gamma 90.00
_space_group_name_H-M_alt 'P 4/m m m'
_space_group_IT_number 123
_space_group_name_Hall '-P 4 2'
loop_
_atom_site_label
_atom_site_fract_x
_atom_site_fract_y
_atom_site_fract_z
Sc1 0.0000 0.0000 0.0000
Mn1 0.0000 0.0000 0.5000
Al1 0.5000 0.5000 0.0000
Mo1 0.0000 0.5000 0.5000
```

Calculated values
Total moment in μB/f.u.: 0.000
Total DFT energy (no corrections) in eV per atom: -7.500
Formation enthalpy at 0 K in meV per atom: 681.4
Crystal system: tetragonal

Entry 7:
This record from Alexandria via LeMat-Bulk describes ScMnAlMo after structural relaxation. The functional is PBE.

Cell and atoms, written as CIF:
```
data_ScMnAlMo
_cell_length_a 6.2719
_cell_length_b 6.2719
_cell_length_c 6.2719
_cell_angle_alpha 90.00
_cell_angle_beta 90.00
_cell_angle_gamma 90.00
_space_group_name_H-M_alt 'F -4 3 m'
_space_group_IT_number 216
_space_group_name_Hall 'F -4 2 3'
loop_
_atom_site_label
_atom_site_fract_x
_atom_site_fract_y
_atom_site_fract_z
Sc1 0.0000 0.0000 0.0000
Mn1 0.2500 0.2500 0.2500
Al1 0.2500 0.2500 0.7500
Mo1 0.0000 0.0000 0.5000
```

Calculated values
Total moment in μB/f.u.: 0.000
Total DFT energy (no corrections) in eV per atom: -7.567
Formation enthalpy at 0 K in meV per atom: -48.0
Crystal system: cubic

Entry 8:
This record from Alexandria via LeMat-Bulk describes MnAl2MoSe after structural relaxation. The functional is PBE.

Cell and atoms, written as CIF:
```
data_MnAl2MoSe
_cell_length_a 4.9673
_cell_length_b 4.9673
_cell_length_c 4.7310
_cell_angle_alpha 90.00
_cell_angle_beta 90.00
_cell_angle_gamma 90.00
_space_group_name_H-M_alt 'P 4/m m m'
_space_group_IT_number 123
_space_group_name_Hall '-P 4 2'
loop_
_atom_site_label
_atom_site_fract_x
_atom_site_fract_y
_atom_site_fract_z
Mn1 0.0000 0.0000 0.0000
Al1 0.0000 0.5000 0.5000
Mo1 0.5000 0.5000 0.5000
Se1 0.5000 0.5000 0.0000
```

Calculated values
Total moment in μB/f.u.: 4.988
Total DFT energy (no corrections) in eV per atom: -5.522
Crystal system: tetragonal